The following is a DFT calculation (PBE) of a relaxed SnGe2Br crystal.

a b c (Å): 8.4799 8.4799 8.4799
angles (deg): 138.41 138.41 60.27
Last column: nearest neighbours and their distance in Å.
Fractional coordinates of all 8 atoms:
1 Sn 0.0000 0.0000 0.0000  4 Ge 2.78
2 Sn 0.7500 0.2500 0.5000  4 Ge 2.78
3 Ge 0.1156 0.6250 0.9906  2 Sn 2.78, 2 Br 2.84
4 Ge 0.3750 0.3656 0.4906  2 Sn 2.78, 2 Br 2.84
5 Ge 0.6344 0.1250 0.0094  2 Sn 2.78, 2 Br 2.84
6 Ge 0.8750 0.8844 0.5094  2 Sn 2.78, 2 Br 2.84
7 Br 0.2500 0.7500 0.5000  4 Ge 2.84
8 Br 0.5000 0.5000 0.0000  4 Ge 2.84

Computed properties:
Space group   No. 122
Energy above the lowest structure with this stoichiometry   78 meV/atom
DOS at the Fermi energy   0.287 states/eV per atom
Raw total energy   -3.394 eV per atom
Total magnetic moment   0.0 μB/cell